(P)
# Cu6NiPt2 | the Alexandria database | PBE | optimized geometry
data_Cu6NiPt2
_symmetry_space_group_name_H-M 'P 1'
_symmetry_Int_Tables_number 1
_cell_length_a 7.3231
_cell_length_b 7.3231
_cell_length_c 2.7228
_cell_angle_alpha 94.96
_cell_angle_beta 94.96
_cell_angle_gamma 125.86
loop_
_symmetry_equiv_pos_as_xyz
'x,y,z'
loop_
_atom_site_label
_atom_site_fract_x
_atom_site_fract_y
_atom_site_fract_z
Cu1 0.0031 0.6775 0.6627
Cu2 0.1673 0.1673 0.8365
Cu3 0.3225 0.9969 0.3373
Cu4 0.6775 0.0031 0.6627
Cu5 0.8327 0.8327 0.1635
Cu6 0.9969 0.3225 0.3373
Ni1 0.5000 0.5000 0.5000
Pt1 0.3369 0.6631 0.0000
Pt2 0.6631 0.3369 0.0000
# ρ ... 11.9 g cm⁻³
# Calculated volume ... 116 Å³/cell
# Symmetry ... C2/m (12)
# Total magnetization ... 0.00 μB per cell


(Q)
# Cu6NiPt2 | the Alexandria database | PBE | optimized geometry
data_Cu6NiPt2
_symmetry_space_group_name_H-M 'P 1'
_symmetry_Int_Tables_number 1
_cell_length_a 6.5000
_cell_length_b 6.5000
_cell_length_c 6.7322
_cell_angle_alpha 115.02
_cell_angle_beta 115.02
_cell_angle_gamma 85.44
loop_
_symmetry_equiv_pos_as_xyz
'x,y,z'
loop_
_atom_site_label
_atom_site_fract_x
_atom_site_fract_y
_atom_site_fract_z
Cu1 0.0909 0.8307 0.5436
Cu2 0.1293 0.4290 0.3670
Cu3 0.1693 0.9091 0.9564
Cu4 0.2955 0.4950 0.8058
Cu5 0.4290 0.1293 0.8670
Cu6 0.4950 0.2955 0.3058
Cu7 0.5050 0.7045 0.6942
Cu8 0.5710 0.8707 0.1330
Cu9 0.7045 0.5050 0.1942
Cu10 0.8307 0.0909 0.0436
Cu11 0.8707 0.5710 0.6330
Cu12 0.9091 0.1693 0.4564
Ni1 0.3529 0.6471 0.2500
Ni2 0.6471 0.3529 0.7500
Pt1 0.0684 0.2876 0.9196
Pt2 0.2876 0.0684 0.4196
Pt3 0.7124 0.9316 0.5804
Pt4 0.9316 0.7124 0.0804
# ρ ... 11.9 g cm⁻³
# Calculated volume ... 232 Å³/cell
# Symmetry ... C2/c (15)
# Total magnetization ... 0.00 μB per cell


Most stable: (P). Least stable: (Q).


(P)
# CuNi8Pt6 | the Alexandria database | PBE | optimized geometry
data_CuNi8Pt6
_symmetry_space_group_name_H-M 'P 1'
_symmetry_Int_Tables_number 1
_cell_length_a 4.6135
_cell_length_b 6.9544
_cell_length_c 6.9749
_cell_angle_alpha 95.06
_cell_angle_beta 108.65
_cell_angle_gamma 109.01
loop_
_symmetry_equiv_pos_as_xyz
'x,y,z'
loop_
_atom_site_label
_atom_site_fract_x
_atom_site_fract_y
_atom_site_fract_z
Cu1 0.0000 0.0000 0.0000
Ni1 0.0617 0.4676 0.3328
Ni2 0.2706 0.8638 0.3329
Ni3 0.3315 0.3327 0.6670
Ni4 0.3968 0.8014 0.0005
Ni5 0.6032 0.1986 0.9995
Ni6 0.6685 0.6673 0.3330
Ni7 0.7294 0.1362 0.6671
Ni8 0.9383 0.5324 0.6672
Pt1 0.1428 0.9395 0.6724
Pt2 0.1937 0.3957 0.9934
Pt3 0.4751 0.2751 0.3419
Pt4 0.5249 0.7249 0.6581
Pt5 0.8063 0.6043 0.0066
Pt6 0.8572 0.0605 0.3276
# ρ ... 14.4 g cm⁻³
# Calculated volume ... 196 Å³/cell
# Symmetry ... P-1 (2)
# Total magnetization ... 7.39 μB per cell


(Q)
# CuNi8Pt6 | the Alexandria database | PBE | optimized geometry
data_CuNi8Pt6
_symmetry_space_group_name_H-M 'P 1'
_symmetry_Int_Tables_number 1
_cell_length_a 9.6892
_cell_length_b 9.6892
_cell_length_c 2.6303
_cell_angle_alpha 90.00
_cell_angle_beta 90.00
_cell_angle_gamma 120.00
loop_
_symmetry_equiv_pos_as_xyz
'x,y,z'
loop_
_atom_site_label
_atom_site_fract_x
_atom_site_fract_y
_atom_site_fract_z
Cu1 0.0000 0.0000 0.0000
Ni1 0.0675 0.8062 0.2749
Ni2 0.1938 0.2613 0.2749
Ni3 0.2613 0.0675 0.7251
Ni4 0.3333 0.6667 0.7436
Ni5 0.6667 0.3333 0.2564
Ni6 0.7387 0.9325 0.2749
Ni7 0.8062 0.7387 0.7251
Ni8 0.9325 0.1938 0.7251
Pt1 0.0939 0.4550 0.2428
Pt2 0.3611 0.9061 0.2428
Pt3 0.4550 0.3611 0.7572
Pt4 0.5450 0.6389 0.2428
Pt5 0.6389 0.0939 0.7572
Pt6 0.9061 0.5450 0.7572
# ρ ... 13.2 g cm⁻³
# Calculated volume ... 214 Å³/cell
# Symmetry ... P-3 (147)
# Total magnetization ... 7.50 μB per cell


Most stable: (P). Least stable: (Q).


(P)
# CuNi5Pt4 | the Alexandria database | PBE | optimized geometry
data_CuNi5Pt4
_symmetry_space_group_name_H-M 'P 1'
_symmetry_Int_Tables_number 1
_cell_length_a 7.0044
_cell_length_b 7.0044
_cell_length_c 5.2809
_cell_angle_alpha 102.89
_cell_angle_beta 102.89
_cell_angle_gamma 31.27
loop_
_symmetry_equiv_pos_as_xyz
'x,y,z'
loop_
_atom_site_label
_atom_site_fract_x
_atom_site_fract_y
_atom_site_fract_z
Cu1 0.0000 0.0000 0.0000
Ni1 0.0000 0.0000 0.5000
Ni2 0.1977 0.1977 0.6022
Ni3 0.4016 0.4016 0.1998
Ni4 0.5984 0.5984 0.8002
Ni5 0.8023 0.8023 0.3978
Pt1 0.2002 0.2002 0.1045
Pt2 0.4032 0.4032 0.6863
Pt3 0.5968 0.5968 0.3137
Pt4 0.7998 0.7998 0.8955
# ρ ... 14.4 g cm⁻³
# Calculated volume ... 131 Å³/cell
# Symmetry ... C2/m (12)
# Total magnetization ... 4.87 μB per cell


(Q)
# CuNi5Pt4 | the Alexandria database | PBE | optimized geometry
data_CuNi5Pt4
_symmetry_space_group_name_H-M 'P 1'
_symmetry_Int_Tables_number 1
_cell_length_a 7.4342
_cell_length_b 8.3336
_cell_length_c 4.4261
_cell_angle_alpha 90.00
_cell_angle_beta 90.00
_cell_angle_gamma 90.00
loop_
_symmetry_equiv_pos_as_xyz
'x,y,z'
loop_
_atom_site_label
_atom_site_fract_x
_atom_site_fract_y
_atom_site_fract_z
Cu1 0.2500 0.2500 0.0324
Cu2 0.7500 0.7500 0.9676
Ni1 0.0831 0.5009 0.2308
Ni2 0.0831 0.9991 0.2308
Ni3 0.2500 0.7500 0.2252
Ni4 0.4169 0.5009 0.2308
Ni5 0.4169 0.9991 0.2308
Ni6 0.5831 0.0009 0.7692
Ni7 0.5831 0.4991 0.7692
Ni8 0.7500 0.2500 0.7748
Ni9 0.9169 0.0009 0.7692
Ni10 0.9169 0.4991 0.7692
Pt1 0.0673 0.2500 0.5423
Pt2 0.2500 0.5790 0.7348
Pt3 0.2500 0.9210 0.7348
Pt4 0.4327 0.2500 0.5423
Pt5 0.5673 0.7500 0.4577
Pt6 0.7500 0.0790 0.2652
Pt7 0.7500 0.4210 0.2652
Pt8 0.9327 0.7500 0.4577
# ρ ... 13.8 g cm⁻³
# Calculated volume ... 274 Å³/cell
# Symmetry ... Pmmn (59)
# Total magnetization ... 9.70 μB per cell


Most stable: (P). Least stable: (Q).


(P)
# Cu2NiPt2 | the Alexandria database | PBE | optimized geometry
data_Cu2NiPt2
_symmetry_space_group_name_H-M 'P 1'
_symmetry_Int_Tables_number 1
_cell_length_a 3.2669
_cell_length_b 3.2669
_cell_length_c 13.5195
_cell_angle_alpha 90.00
_cell_angle_beta 90.00
_cell_angle_gamma 90.00
loop_
_symmetry_equiv_pos_as_xyz
'x,y,z'
loop_
_atom_site_label
_atom_site_fract_x
_atom_site_fract_y
_atom_site_fract_z
Cu1 0.0000 0.5000 0.2500
Cu2 0.0000 0.5000 0.7500
Cu3 0.5000 0.0000 0.2500
Cu4 0.5000 0.0000 0.7500
Ni1 0.0000 0.0000 0.0000
Ni2 0.5000 0.5000 0.5000
Pt1 0.0000 0.0000 0.4018
Pt2 0.0000 0.0000 0.5982
Pt3 0.5000 0.5000 0.0982
Pt4 0.5000 0.5000 0.9018
# ρ ... 13.3 g cm⁻³
# Calculated volume ... 144 Å³/cell
# Symmetry ... I4/mmm (139)
# Total magnetization ... 2.32 μB per cell


(Q)
# Cu2NiPt2 | the Alexandria database | PBE | optimized geometry
data_Cu2NiPt2
_symmetry_space_group_name_H-M 'P 1'
_symmetry_Int_Tables_number 1
_cell_length_a 7.0660
_cell_length_b 7.0660
_cell_length_c 2.8933
_cell_angle_alpha 90.00
_cell_angle_beta 90.00
_cell_angle_gamma 90.00
loop_
_symmetry_equiv_pos_as_xyz
'x,y,z'
loop_
_atom_site_label
_atom_site_fract_x
_atom_site_fract_y
_atom_site_fract_z
Cu1 0.1587 0.3413 0.0000
Cu2 0.3413 0.8413 0.0000
Cu3 0.6587 0.1587 0.0000
Cu4 0.8413 0.6587 0.0000
Ni1 0.0000 0.0000 0.5000
Ni2 0.5000 0.5000 0.5000
Pt1 0.1407 0.6407 0.5000
Pt2 0.3593 0.1407 0.5000
Pt3 0.6407 0.8593 0.5000
Pt4 0.8593 0.3593 0.5000
# ρ ... 13.2 g cm⁻³
# Calculated volume ... 144 Å³/cell
# Symmetry ... P4/mbm (127)
# Total magnetization ... 1.98 μB per cell


(R)
# Cu2NiPt2 | the Alexandria database | PBE | optimized geometry
data_Cu2NiPt2
_symmetry_space_group_name_H-M 'P 1'
_symmetry_Int_Tables_number 1
_cell_length_a 8.2379
_cell_length_b 3.8054
_cell_length_c 5.8130
_cell_angle_alpha 90.00
_cell_angle_beta 132.79
_cell_angle_gamma 90.00
loop_
_symmetry_equiv_pos_as_xyz
'x,y,z'
loop_
_atom_site_label
_atom_site_fract_x
_atom_site_fract_y
_atom_site_fract_z
Cu1 0.1977 0.0000 0.0924
Cu2 0.3023 0.5000 0.9076
Cu3 0.6977 0.5000 0.0924
Cu4 0.8023 0.0000 0.9076
Ni1 0.0000 0.0000 0.5000
Ni2 0.5000 0.5000 0.5000
Pt1 0.0962 0.5000 0.3029
Pt2 0.4038 0.0000 0.6971
Pt3 0.5962 0.0000 0.3029
Pt4 0.9038 0.5000 0.6971
# ρ ... 14.3 g cm⁻³
# Calculated volume ... 134 Å³/cell
# Symmetry ... C2/m (12)
# Total magnetization ... 1.43 μB per cell


Most stable: (R). Least stable: (P).


(P)
# Cu2Ni5Pt | the Alexandria database | PBE | optimized geometry
data_Cu2Ni5Pt
_symmetry_space_group_name_H-M 'P 1'
_symmetry_Int_Tables_number 1
_cell_length_a 4.7420
_cell_length_b 7.1698
_cell_length_c 6.0919
_cell_angle_alpha 90.00
_cell_angle_beta 97.43
_cell_angle_gamma 90.00
loop_
_symmetry_equiv_pos_as_xyz
'x,y,z'
loop_
_atom_site_label
_atom_site_fract_x
_atom_site_fract_y
_atom_site_fract_z
Cu1 0.1931 0.0000 0.1397
Cu2 0.3069 0.5000 0.8603
Cu3 0.6931 0.5000 0.1397
Cu4 0.8069 0.0000 0.8603
Ni1 0.0000 0.0000 0.5000
Ni2 0.1957 0.3282 0.1877
Ni3 0.1957 0.6718 0.1877
Ni4 0.3043 0.1718 0.8123
Ni5 0.3043 0.8282 0.8123
Ni6 0.5000 0.5000 0.5000
Ni7 0.6957 0.1718 0.1877
Ni8 0.6957 0.8282 0.1877
Ni9 0.8043 0.3282 0.8123
Ni10 0.8043 0.6718 0.8123
Pt1 0.0000 0.5000 0.5000
Pt2 0.5000 0.0000 0.5000
# ρ ... 10.0 g cm⁻³
# Calculated volume ... 205 Å³/cell
# Symmetry ... C2/m (12)
# Total magnetization ... 5.85 μB per cell


(Q)
# Cu2Ni5Pt | the Alexandria database | PBE | optimized geometry
data_Cu2Ni5Pt
_symmetry_space_group_name_H-M 'P 1'
_symmetry_Int_Tables_number 1
_cell_length_a 6.6978
_cell_length_b 6.6978
_cell_length_c 6.6978
_cell_angle_alpha 124.44
_cell_angle_beta 124.44
_cell_angle_gamma 82.47
loop_
_symmetry_equiv_pos_as_xyz
'x,y,z'
loop_
_atom_site_label
_atom_site_fract_x
_atom_site_fract_y
_atom_site_fract_z
Cu1 0.1443 0.6443 0.7886
Cu2 0.3557 0.1443 0.5000
Cu3 0.6443 0.8557 0.5000
Cu4 0.8557 0.3557 0.2114
Ni1 0.0000 0.0000 0.0000
Ni2 0.0169 0.8113 0.5000
Ni3 0.1887 0.6887 0.2056
Ni4 0.3113 0.5169 0.5000
Ni5 0.4831 0.9831 0.7944
Ni6 0.5000 0.5000 0.0000
Ni7 0.5169 0.0169 0.2056
Ni8 0.6887 0.4831 0.5000
Ni9 0.8113 0.3113 0.7944
Ni10 0.9831 0.1887 0.5000
Pt1 0.2500 0.2500 0.0000
Pt2 0.7500 0.7500 0.0000
# ρ ... 10.4 g cm⁻³
# Calculated volume ... 196 Å³/cell
# Symmetry ... I4/mcm (140)
# Total magnetization ... 5.54 μB per cell


Most stable: (Q). Least stable: (P).


(P)
# Cu2Ni2Pt5 | the Alexandria database | PBE | optimized geometry
data_Cu2Ni2Pt5
_symmetry_space_group_name_H-M 'P 1'
_symmetry_Int_Tables_number 1
_cell_length_a 7.1537
_cell_length_b 7.1537
_cell_length_c 6.4420
_cell_angle_alpha 90.00
_cell_angle_beta 90.00
_cell_angle_gamma 53.32
loop_
_symmetry_equiv_pos_as_xyz
'x,y,z'
loop_
_atom_site_label
_atom_site_fract_x
_atom_site_fract_y
_atom_site_fract_z
Cu1 0.2076 0.2076 0.0000
Cu2 0.2924 0.2924 0.5000
Cu3 0.7076 0.7076 0.5000
Cu4 0.7924 0.7924 0.0000
Ni1 0.1267 0.8733 0.6273
Ni2 0.3733 0.6267 0.1273
Ni3 0.6267 0.3733 0.8727
Ni4 0.8733 0.1267 0.3727
Pt1 0.0000 0.0000 0.0000
Pt2 0.0325 0.6946 0.3292
Pt3 0.1946 0.5325 0.8292
Pt4 0.3054 0.9675 0.3292
Pt5 0.4675 0.8054 0.8292
Pt6 0.5000 0.5000 0.5000
Pt7 0.5325 0.1946 0.1708
Pt8 0.6946 0.0325 0.6708
Pt9 0.8054 0.4675 0.1708
Pt10 0.9675 0.3054 0.6708
# ρ ... 15.3 g cm⁻³
# Calculated volume ... 264 Å³/cell
# Symmetry ... Cmce (64)
# Total magnetization ... 5.76 μB per cell


(Q)
# Cu2Ni2Pt5 | the Alexandria database | PBE | optimized geometry
data_Cu2Ni2Pt5
_symmetry_space_group_name_H-M 'P 1'
_symmetry_Int_Tables_number 1
_cell_length_a 4.6736
_cell_length_b 4.6736
_cell_length_c 8.1639
_cell_angle_alpha 106.28
_cell_angle_beta 106.28
_cell_angle_gamma 47.94
loop_
_symmetry_equiv_pos_as_xyz
'x,y,z'
loop_
_atom_site_label
_atom_site_fract_x
_atom_site_fract_y
_atom_site_fract_z
Cu1 0.1671 0.1671 0.0547
Cu2 0.8329 0.8329 0.9453
Ni1 0.1684 0.1684 0.3885
Ni2 0.8316 0.8316 0.6115
Pt1 0.1702 0.1702 0.7194
Pt2 0.4996 0.4996 0.1644
Pt3 0.5000 0.5000 0.5000
Pt4 0.5004 0.5004 0.8356
Pt5 0.8298 0.8298 0.2806
# ρ ... 16.1 g cm⁻³
# Calculated volume ... 126 Å³/cell
# Symmetry ... C2/m (12)
# Total magnetization ... 2.42 μB per cell


Most stable: (Q). Least stable: (P).